Material: Ca2AlCd16
Method: DFT, PBE-GGA
State: optimized geometry

a = 7.703 Å, b = 7.703 Å, c = 7.703 Å
α = 82.39°, β = 82.39°, γ = 82.39°
Positions (direct):
1 Cd 0.338 0.879 0.338
2 Cd 0.536 0.975 0.975
3 Cd 0.622 0.622 0.221
4 Cd 0.000 0.306 0.694
5 Cd 0.093 0.093 0.093
6 Cd 0.338 0.338 0.879
7 Cd 0.975 0.975 0.536
8 Cd 0.879 0.338 0.338
9 Cd 0.694 0.306 0.000
10 Cd 0.306 0.000 0.694
11 Cd 0.221 0.622 0.622
12 Cd 0.306 0.694 0.000
13 Cd 0.975 0.536 0.975
14 Cd 0.694 0.000 0.306
15 Cd 0.622 0.221 0.622
16 Cd 0.000 0.694 0.306
17 Ca 0.326 0.326 0.326
18 Ca 0.669 0.669 0.669
19 Al 0.906 0.906 0.906

Density, g/cm3: 7.1
E_form, eV per atom: -0.11
Space-group type: R3m
VASP energy, eV per cell: -24.44